Here is a geometry-optimized Li2Ir5Rh4 structure from Alexandria via LeMat-Bulk. Energies are from GGA-PBE.

extended XYZ file:
```
11
Lattice="8.9720 -1.3418 0.0000 8.9720 1.3418 0.0000 -1.1310 0.0000 6.5269" Properties=species:S:1:pos:R:3 pbc="T T T"
Li 1.3857 0.0000 1.5363
Li 15.4273 0.0000 4.9907
Ir 1.7967 0.0000 3.9581
Ir 3.8067 0.0000 2.1159
Ir 8.4065 0.0000 3.2635
Ir 13.0063 0.0000 4.4110
Ir 15.0163 0.0000 2.5688
Rh -0.2023 0.0000 5.6068
Rh 5.7280 0.0000 0.1775
Rh 11.0850 0.0000 6.3494
Rh 17.0153 0.0000 0.9202
```

Computed properties:
Total energy (eV/atom): -6.9809
Space group: C2/m
Calculated formation energy (eV/atom): 0.0681